# 1
A relaxed Tm12Co6Pb crystal, computed with PBE.

formation energy from the elements: -301 meV per atom
density: 9.91 g cm⁻³
DOS(E_F): 9.31 states/eV/f.u.

Unit cell a=8.258 b=8.258 c=8.258 alpha=109.47 beta=109.47 gamma=109.47
Element x y z (fractional)
Co1 0.500 0.114 0.614
Co2 0.886 0.386 0.500
Co3 0.386 0.500 0.886
Co4 0.500 0.886 0.386
Co5 0.614 0.500 0.114
Co6 0.114 0.614 0.500
Tm1 0.195 0.697 0.892
Tm2 0.805 0.697 0.502
Tm3 0.697 0.892 0.195
Tm4 0.502 0.805 0.697
Tm5 0.697 0.502 0.805
Tm6 0.195 0.303 0.498
Tm7 0.498 0.195 0.303
Tm8 0.303 0.498 0.195
Tm9 0.303 0.108 0.805
Tm10 0.805 0.303 0.108
Tm11 0.108 0.805 0.303
Tm12 0.892 0.195 0.697
Pb1 0.000 0.000 0.000

---

# 2
A relaxed Hf2Ga3Fe crystal, computed with PBE.

formation energy from the elements: -12 meV per atom
density: 9.43 g cm⁻³
DOS(E_F): 3.78 states/eV/f.u.

Unit cell a=2.943 b=5.417 c=7.531 alpha=111.08 beta=101.27 gamma=90.00
Element x y z (fractional)
Hf1 0.678 0.178 0.355
Hf2 0.322 0.822 0.645
Ga1 0.352 0.352 0.704
Ga2 0.000 0.000 0.000
Ga3 0.648 0.648 0.296
Fe1 0.000 0.500 0.000

---

# 3
A relaxed La2CdIrI crystal, computed with PBE.

density: 7.17 g cm⁻³
formation energy (no corrections): -0.65 eV/atom
DOS(E_F): 3.86 states/eV/f.u.

Unit cell a=5.557 b=5.557 c=5.316 alpha=90.00 beta=90.00 gamma=90.00
Element x y z (fractional)
Ir1 0.000 0.000 0.000
La1 0.000 0.500 0.000
La2 0.500 0.000 0.000
Cd1 0.000 0.000 0.500
I1 0.500 0.500 0.500

---

# 4
A relaxed Sr2CuHg crystal, computed with PBE.

formation energy from the elements: -172 meV per atom
density: 5.29 g cm⁻³
DOS(E_F): 2.47 states/eV/f.u.

Unit cell a=4.492 b=4.492 c=8.306 alpha=74.31 beta=74.31 gamma=60.05
Element x y z (fractional)
Sr1 0.009 0.009 0.973
Sr2 0.491 0.491 0.527
Cu1 0.750 0.750 0.750
Hg1 0.250 0.250 0.250

---

# 5
A relaxed ZnCd2Te crystal, computed with PBE.

density: 6.97 g cm⁻³
formation energy (no corrections): 0.08 eV/atom
DOS(E_F): 1.59 states/eV/f.u.

Unit cell a=5.479 b=5.479 c=5.479 alpha=134.75 beta=118.33 gamma=79.72
Element x y z (fractional)
Zn1 0.250 0.750 0.500
Cd1 0.478 0.478 0.000
Cd2 0.022 0.022 0.000
Te1 0.750 0.250 0.500

---

# 6
A relaxed DyHf2Al6 crystal, computed with PBE.

formation energy from the elements: -249 meV per atom
density: 6.06 g cm⁻³
DOS(E_F): 3.80 states/eV/f.u.

Unit cell a=4.237 b=7.658 c=7.658 alpha=52.20 beta=73.94 gamma=73.94
Element x y z (fractional)
Al1 0.691 0.016 0.602
Al2 0.309 0.984 0.398
Al3 0.500 0.313 0.687
Al4 0.691 0.602 0.016
Al5 0.309 0.398 0.984
Al6 0.500 0.687 0.313
Hf1 0.116 0.384 0.384
Hf2 0.884 0.616 0.616
Dy1 0.000 0.000 0.000

---

# 7
A relaxed MgTi4 crystal, computed with PBE.

formation energy from the elements: 103 meV per atom
density: 3.96 g cm⁻³
DOS(E_F): 7.38 states/eV/f.u.

Unit cell a=2.945 b=4.138 c=7.849 alpha=105.29 beta=100.87 gamma=90.00
Element x y z (fractional)
Mg1 0.000 0.000 0.000
Ti1 0.391 0.392 0.783
Ti2 0.609 0.608 0.217
Ti3 0.795 0.795 0.590
Ti4 0.205 0.205 0.410

---

# 8
A relaxed Cr3HW crystal, computed with PBE.

raw total energy: -6.541 eV per atom
density: 6.11 g cm⁻³
DOS(E_F): 12.22 states/eV/f.u.

Unit cell a=4.525 b=4.525 c=4.525 alpha=90.00 beta=90.00 gamma=90.00
Element x y z (fractional)
H1 0.500 0.500 0.500
Cr1 0.000 0.500 0.000
Cr2 0.500 0.000 0.000
Cr3 0.000 0.000 0.500
W1 0.000 0.000 0.000

---

# 9
A relaxed LiFe2NiC crystal, computed with PBE.

formation energy from the elements: 72 meV per atom
density: 5.89 g cm⁻³
DOS(E_F): 4.08 states/eV/f.u.

Unit cell a=3.745 b=3.745 c=3.804 alpha=90.00 beta=90.00 gamma=90.00
Element x y z (fractional)
Ni1 0.000 0.000 0.500
Fe1 0.000 0.500 0.000
Fe2 0.500 0.000 0.000
C1 0.000 0.000 0.000
Li1 0.500 0.500 0.500

---

# 10
A relaxed HfThPa crystal, computed with PBE.

formation energy from the elements: 810 meV per atom
density: 11.67 g cm⁻³
DOS(E_F): 7.04 states/eV/f.u.

Unit cell a=7.148 b=7.148 c=7.148 alpha=90.00 beta=90.00 gamma=90.00
Element x y z (fractional)
Pa1 0.328 0.172 0.828
Pa2 0.672 0.672 0.672
Pa3 0.172 0.828 0.328
Pa4 0.828 0.328 0.172
Th1 0.667 0.833 0.167
Th2 0.333 0.333 0.333
Th3 0.833 0.167 0.667
Th4 0.167 0.667 0.833
Hf1 0.043 0.043 0.043
Hf2 0.957 0.543 0.457
Hf3 0.543 0.457 0.957
Hf4 0.457 0.957 0.543

---

# 11
A relaxed Pm2AlZn2Rh5 crystal, computed with PBE.

formation energy from the elements: -620 meV per atom
density: 9.35 g cm⁻³
DOS(E_F): 4.59 states/eV/f.u.

Unit cell a=3.513 b=9.866 c=9.866 alpha=90.00 beta=90.00 gamma=90.00
Element x y z (fractional)
Rh1 0.500 0.439 0.302
Rh2 0.500 0.061 0.802
Rh3 0.500 0.561 0.698
Rh4 0.500 0.698 0.439
Rh5 0.500 0.302 0.561
Rh6 0.500 0.939 0.198
Rh7 0.500 0.198 0.061
Rh8 0.500 0.802 0.939
Rh9 0.500 0.500 0.000
Rh10 0.500 0.000 0.500
Pm1 0.000 0.173 0.327
Pm2 0.000 0.327 0.827
Pm3 0.000 0.827 0.673
Pm4 0.000 0.673 0.173
Zn1 0.000 0.127 0.627
Zn2 0.000 0.627 0.873
Zn3 0.000 0.873 0.373
Zn4 0.000 0.373 0.127
Al1 0.000 0.000 0.000
Al2 0.000 0.500 0.500

---

# 12
A relaxed Ba2Tm2Zn8O13 crystal, computed with PBE.

density: 6.10 g cm⁻³
formation energy (no corrections): -2.03 eV/atom
DOS(E_F): 0.00 states/eV/f.u.

Unit cell a=6.418 b=6.418 c=10.256 alpha=89.51 beta=89.51 gamma=60.07
Element x y z (fractional)
O1 0.825 0.279 0.435
O2 0.998 0.510 0.221
O3 0.279 0.825 0.435
O4 0.001 0.535 0.649
O5 0.512 0.512 0.684
O6 0.666 0.666 0.936
O7 0.499 0.499 0.183
O8 0.154 0.620 0.930
O9 0.025 0.025 0.725
O10 0.535 0.001 0.649
O11 0.011 0.011 0.155
O12 0.510 0.998 0.221
O13 0.620 0.154 0.930
Tm1 0.143 0.143 0.297
Tm2 0.835 0.835 0.809
Zn1 0.341 0.341 0.652
Zn2 0.158 0.658 0.120
Zn3 0.328 0.852 0.626
Zn4 0.852 0.328 0.626
Zn5 0.658 0.158 0.120
Zn6 0.497 0.497 0.883
Zn7 0.676 0.676 0.127
Zn8 0.528 0.528 0.369
Ba1 0.169 0.169 0.938
Ba2 0.840 0.840 0.437